Entry P
YCo2Sb2 | the Alexandria database | PBE | relaxed; theoretical density = 7.93 g/cm3
1.0
7.381 0.000 0.000
0.000 7.381 0.000
0.000 0.000 3.463
Y Co Sb
2 4 4
Direct
0.000 0.000 0.000
0.500 0.500 0.000
0.116 0.384 0.000
0.384 0.884 0.000
0.616 0.116 0.000
0.884 0.616 0.000
0.170 0.670 0.500
0.330 0.170 0.500
0.670 0.830 0.500
0.830 0.330 0.500

Entry Q
YCo2Sb2 | the Alexandria database | PBE | relaxed; theoretical density = 7.76 g/cm3
1.0
-2.286 2.286 4.611
2.286 -2.286 4.611
2.286 2.286 -4.611
Y Co Sb
1 2 2
Direct
0.000 0.000 0.000
0.373 0.373 0.000
0.627 0.627 0.000
0.250 0.750 0.500
0.750 0.250 0.500

entry Q comes first in stability; the runner-up is 110 meV per atom higher.

Entry P
ZnCo3Sb | the Alexandria database | PBE | relaxed; theoretical density = 6.07 g/cm3
1.0
4.635 0.000 0.000
0.000 4.635 0.000
0.000 0.000 4.635
Zn Co Sb
1 3 1
Direct
0.000 0.000 0.000
0.000 0.500 0.500
0.500 0.000 0.500
0.500 0.500 0.000
0.500 0.500 0.500

Entry Q
ZnCo3Sb | the Alexandria database | PBE | relaxed; theoretical density = 7.32 g/cm3
1.0
4.354 0.000 0.000
0.000 4.354 0.000
0.000 0.000 4.354
Zn Co Sb
1 3 1
Direct
0.000 0.000 0.000
0.000 0.000 0.500
0.000 0.500 0.000
0.500 0.000 0.000
0.500 0.500 0.500

entry Q comes first in stability; the runner-up is 270 meV per atom higher.

Entry P
ZrCo2Sb2 | the Alexandria database | PBE | relaxed; theoretical density = 8.54 g/cm3
1.0
6.962 0.000 0.000
0.000 6.962 0.000
0.000 0.000 3.632
Zr Co Sb
2 4 4
Direct
0.000 0.000 0.000
0.500 0.500 0.000
0.120 0.380 0.000
0.380 0.880 0.000
0.620 0.120 0.000
0.880 0.620 0.000
0.175 0.675 0.500
0.325 0.175 0.500
0.675 0.825 0.500
0.825 0.325 0.500

Entry Q
ZrCo2Sb2 | the Alexandria database | PBE | relaxed; theoretical density = 8.24 g/cm3
1.0
-2.021 2.021 5.582
2.021 -2.021 5.582
2.021 2.021 -5.582
Zr Co Sb
1 2 2
Direct
0.000 0.000 0.000
0.250 0.750 0.500
0.750 0.250 0.500
0.373 0.373 0.000
0.627 0.627 0.000

entry P comes first in stability; the runner-up is 20 meV per atom higher.

Entry P
Zr2Co2Sb | the Alexandria database | PBE | relaxed; theoretical density = 7.51 g/cm3
1.0
-1.695 1.695 8.123
1.695 -1.695 8.123
1.695 1.695 -8.123
Zr Co Sb
2 2 1
Direct
0.124 0.124 0.000
0.876 0.876 0.000
0.250 0.750 0.500
0.750 0.250 0.500
0.500 0.500 0.000

Entry Q
Zr2Co2Sb | the Alexandria database | PBE | relaxed; theoretical density = 8.19 g/cm3
1.0
7.113 0.000 0.000
0.000 7.113 0.000
0.000 0.000 3.383
Zr Co Sb
4 4 2
Direct
0.169 0.331 0.000
0.331 0.831 0.000
0.669 0.169 0.000
0.831 0.669 0.000
0.127 0.627 0.500
0.373 0.127 0.500
0.627 0.873 0.500
0.873 0.373 0.500
0.000 0.000 0.500
0.500 0.500 0.500

entry Q comes first in stability; the runner-up is 262 meV per atom higher.